## Na2Sn2Te5 (PBE)

Data for Na2Sn2Te5 after structural relaxation.

ΔE_f (raw)   -0.34 eV per atom
Calculated total energy   -3.264 eV per atom
N(E_F)   0.170 states/eV per atom
Magnetic moment   0.0 Bohr magnetons per cell

extended XYZ file:
```
18
Lattice="-9.700 4.318 3.817 9.700 -4.318 3.817 9.700 4.318 -3.817" Properties=species:S:1:pos:R:3 pbc="T T T"
Na 1.889 0.303 0.000
Na 7.811 0.303 0.000
Na 1.889 4.016 3.817
Na 7.811 4.016 3.817
Sn 4.850 -0.752 3.636
Sn 0.000 4.318 0.022
Sn 0.000 0.000 3.839
Sn 4.850 5.070 -0.181
Te 10.409 2.245 -1.819
Te 8.990 -2.074 1.998
Te 14.549 0.865 0.756
Te 2.785 3.433 0.757
Te 6.914 3.433 0.757
Te -0.710 2.074 1.998
Te 10.409 2.074 1.998
Te 2.785 0.885 4.574
Te 6.914 0.885 4.574
Te -4.850 3.453 4.573
```

=====

## Na2SnTe3 (PBE)

Data for Na2SnTe3 after structural relaxation.

ΔE_f (raw)   -0.46 eV per atom
Calculated total energy   -3.138 eV per atom
N(E_F)   0.343 states/eV per atom
ΔE to the lowest computed polymorph   32.9 meV/atom
Magnetic moment   0.0 Bohr magnetons per cell

extended XYZ file:
```
24
Lattice="3.222 -7.555 0.000 3.222 7.555 0.000 0.000 0.000 17.307" Properties=species:S:1:pos:R:3 pbc="T T T"
Na 3.222 7.234 14.710
Na 3.222 5.646 7.972
Na 3.222 1.909 16.626
Na 3.222 0.321 6.057
Na 3.222 -0.321 11.251
Na 3.222 -1.909 0.681
Na 3.222 -5.646 9.335
Na 3.222 -7.234 2.597
Sn 3.222 4.005 11.085
Sn 3.222 3.551 2.432
Sn 3.222 -3.551 14.875
Sn 3.222 -4.005 6.222
Te 3.222 6.830 11.296
Te 1.611 2.418 12.980
Te 3.222 5.354 0.260
Te 3.222 2.201 8.914
Te 1.611 -2.418 4.327
Te 3.222 0.725 2.643
Te 3.222 -0.725 14.664
Te 4.833 2.418 12.980
Te 3.222 -2.201 8.393
Te 3.222 -5.354 17.047
Te 4.833 -2.418 4.327
Te 3.222 -6.830 6.011
```

=====

## Na3ThSn2Te6 (PBE)

Data for Na3ThSn2Te6 after structural relaxation.

ΔE_f (raw)   -0.77 eV per atom
Calculated total energy   -3.958 eV per atom
N(E_F)   0.444 states/eV per atom
Magnetic moment   0.0 Bohr magnetons per cell

extended XYZ file:
```
12
Lattice="3.917 -6.783 0.000 3.917 6.783 0.000 -2.611 0.000 7.504" Properties=species:S:1:pos:R:3 pbc="T T T"
Na 0.000 0.000 0.000
Na 3.917 2.318 0.000
Na 3.917 -2.318 0.000
Th 2.612 0.000 3.752
Sn 2.612 4.534 3.752
Sn 2.612 -4.534 3.752
Te 1.313 2.252 1.992
Te 0.013 0.000 5.523
Te 1.313 -2.252 1.992
Te 3.911 2.252 5.512
Te 5.211 0.000 1.982
Te 3.911 -2.252 5.512
```

=====

## Na2ThSn3Te6 (PBE)

Data for Na2ThSn3Te6 after structural relaxation.

ΔE_f (raw)   -0.69 eV per atom
Calculated total energy   -4.101 eV per atom
Magnetic moment   0.0 Bohr magnetons per cell

extended XYZ file:
```
12
Lattice="3.928 -6.804 0.000 3.928 6.804 0.000 -2.579 0.000 7.560" Properties=species:S:1:pos:R:3 pbc="T T T"
Na 3.928 4.498 0.000
Na 3.928 -4.498 0.000
Th 3.928 0.000 0.000
Sn -1.290 0.000 3.780
Sn 2.639 2.206 3.780
Sn 2.639 -2.206 3.780
Te 0.075 2.166 5.685
Te 1.412 0.000 1.933
Te 0.075 -2.166 5.685
Te 5.203 2.166 1.875
Te 3.866 0.000 5.627
Te 5.203 -2.166 1.875
```